Record 1
DFT (PBE) results for crystalline CeSmHo3 at its relaxed geometry.

a b c (Å): 9.426 8.624 9.061
angles (deg): 60.36 90.00 90.00
Site moments in Bohr magnetons follow the coordinates.
Sites, in units of the cell vectors:
Sm1 0.250 0.012 0.069  0.01
Sm2 0.750 0.988 0.931  0.01
Sm3 0.250 0.346 0.616  0.02
Sm4 0.750 0.654 0.384  0.02
Ho1 0.918 0.242 0.511  0.03
Ho2 0.082 0.758 0.489  0.03
Ho3 0.929 0.409 0.789  0.04
Ho4 0.071 0.591 0.211  0.04
Ho5 0.070 0.874 0.797  0.04
Ho6 0.570 0.126 0.203  0.04
Ho7 0.429 0.591 0.211  0.04
Ho8 0.930 0.126 0.203  0.04
Ho9 0.430 0.874 0.797  0.04
Ho10 0.418 0.758 0.489  0.03
Ho11 0.571 0.409 0.789  0.04
Ho12 0.582 0.242 0.511  0.03
Ce1 0.750 0.531 0.058  0.73
Ce2 0.750 0.838 0.628  0.61
Ce3 0.250 0.469 0.942  0.73
Ce4 0.250 0.162 0.372  0.61

Summary:
For the total magnetization, the calculation gives 0.97 μB per formula unit. For the calculated formation energy, the calculation gives 0.156 eV/atom.

=====

Record 2
DFT (PBE) results for crystalline OsS2ICl at its relaxed geometry.

a b c (Å): 4.398 6.613 4.398
angles (deg): 90.00 90.00 90.00
Site moments in Bohr magnetons follow the coordinates.
Sites, in units of the cell vectors:
I1 0.000 0.500 0.000  0.06
Os1 0.500 0.500 0.500  2.71
S1 0.000 0.000 0.500  0.13
S2 0.500 0.000 0.000  0.11
Cl1 0.000 0.000 0.000  0.01

Summary:
For the total magnetization, the calculation gives 3.59 μB per formula unit. Its uncorrected formation energy is 1797 meV/atom.

=====

Q: What is the total magnetization in the first record?
A: 0.97 μB per formula unit

=====

Q: Look up the total magnetization of the first one.
A: 0.97 μB per formula unit

=====

Copy entry 2 word for word.
DFT (PBE) results for crystalline OsS2ICl at its relaxed geometry.

a b c (Å): 4.398 6.613 4.398
angles (deg): 90.00 90.00 90.00
Site moments in Bohr magnetons follow the coordinates.
Sites, in units of the cell vectors:
I1 0.000 0.500 0.000  0.06
Os1 0.500 0.500 0.500  2.71
S1 0.000 0.000 0.500  0.13
S2 0.500 0.000 0.000  0.11
Cl1 0.000 0.000 0.000  0.01

Summary:
For the total magnetization, the calculation gives 3.59 μB per formula unit. Its uncorrected formation energy is 1797 meV/atom.